# 1
Computed, not measured: a relaxed SrMn2Re crystal at the PBE level of DFT.

Output
calculated density = 10.003 g cm⁻³
E_form = 4.3 eV per formula unit
DOS at the Fermi energy = 14.4 states/eV/cell
spin magnetization = 3.8 μB/cell

a = 6.340 Å, b = 6.340 Å, c = 6.340 Å
α = 90.00°, β = 90.00°, γ = 90.00°
Space group Fm-3m (No. 225)
One atom of each set of equivalent atoms:
Sr 0.000 0.000 0.000 x4
Mn 0.250 0.250 0.250 x8
Re 0.000 0.000 0.500 x4


# 2
Computed, not measured: a relaxed CdCu5Au6 crystal at the PBE level of DFT.

Output
calculated density = 14.100 g cm⁻³
E_form = -0.6 eV per formula unit
DOS at the Fermi energy = 2.3 states/eV/cell
spin magnetization = 0.0 μB/cell

a = 4.626 Å, b = 6.020 Å, c = 6.938 Å
α = 90.00°, β = 100.76°, γ = 90.00°
Space group P2/m (No. 10)
One atom of each set of equivalent atoms:
Cd 0.000 0.000 0.000 x1
Cu 0.000 0.500 0.000 x1
Cu 0.299 0.500 0.678 x2
Cu 0.308 0.000 0.674 x2
Au 0.203 0.255 0.350 x4
Au 0.500 0.261 0.000 x2


# 3
Computed, not measured: a relaxed Pr4CBr3 crystal at the PBE level of DFT.

Output
calculated density = 6.127 g cm⁻³
ΔE_f (raw) = -981.4 meV/atom
DOS at the Fermi energy = 8.0 states/eV/cell
spin magnetization = 0.0 μB/cell

a = 9.113 Å, b = 12.238 Å, c = 3.963 Å
α = 90.00°, β = 90.00°, γ = 90.00°
Space group Cmmm (No. 65)
One atom of each set of equivalent atoms:
Pr 0.000 0.204 0.000 x4
Pr 0.191 0.000 0.500 x4
C 0.000 0.000 0.000 x2
Br 0.000 0.500 0.000 x2
Br 0.250 0.250 0.500 x4


# 4
Computed, not measured: a relaxed CdOs2Br crystal at the PBE level of DFT.

Output
calculated density = 13.858 g cm⁻³
ΔE_f (raw) = 1485.2 meV/atom
DOS at the Fermi energy = 11.5 states/eV/cell
spin magnetization = 0.0 μB/cell

a = 5.788 Å, b = 8.219 Å, c = 2.885 Å
α = 90.00°, β = 90.00°, γ = 90.00°
Space group Cmmm (No. 65)
One atom of each set of equivalent atoms:
Cd 0.000 0.000 0.000 x2
Os 0.250 0.250 0.500 x4
Br 0.000 0.500 0.000 x2